Density functional theory data (PBE) for a relaxed structure of RbSb2TeI.

Lattice parameters (Å, degrees): 5.954 5.954 6.194 90.00 90.00 90.00
Last column: magnetic moment on the atom in μB.
Fractional positions:
I (0.000, 0.000, 0.000)  0.02
Sb (0.000, 0.500, 0.000)  0.17
Sb (0.500, 0.000, 0.000)  0.17
Te (0.000, 0.000, 0.500)  0.08
Rb (0.500, 0.500, 0.500)  0.01

Output
- final energy (eV/atom) = -2.344
- formation energy without anion corrections (eV per atom) = 0.437
- excess energy over the best structure of this formula in the dataset (meV per atom) = 360
- Fermi-level density of states (states/eV per cell) = 6.397